An optimized crystal structure of BaMnSbO6, computed with PBE with a Hubbard U.

Cell lengths 5.237, 5.237, 5.868 Å; angles 90.00, 90.00, 120.00 degrees
Fractional coordinates of all 9 atoms:
Ba (0.000, 0.000, 0.000)
Mn (0.667, 0.333, 0.500)
Sb (0.333, 0.667, 0.500)
O (0.394, 0.012, 0.691)
O (0.394, 0.382, 0.309)
O (0.618, 0.012, 0.309)
O (0.618, 0.606, 0.691)
O (0.988, 0.382, 0.691)
O (0.988, 0.606, 0.309)

D(E_F) ... 0.72 states/eV per atom
Size of the total moment ... 2.0 μB per formula unit
Total energy ... -6.453 eV/atom